Record 1
The following is a DFT calculation (GGA-PBE) of a relaxed structure of CdTcPb2.

Unit cell a=3.4969 b=5.5335 c=4.7970 alpha=90.00 beta=90.00 gamma=90.00
Last column: nearest neighbours and their distance in Å.
Positions (direct):
Cd (0.0000, 0.5000, 0.5000)  4 Pb 2.97, 4 Tc 3.27
Pb (0.0000, 0.0000, 0.0000)  4 Tc 2.97, 4 Pb 3.27
Pb (0.5000, 0.5000, 0.0000)  4 Cd 2.97, 4 Pb 3.27
Tc (0.5000, 0.0000, 0.5000)  4 Pb 2.97, 4 Cd 3.27

Output
- Energy: -3.99 eV/atom
- Space group: No. 47

***

Record 2
The following is a DFT calculation (GGA-PBE) of a relaxed structure of YTcSCl2.

Unit cell a=5.2355 b=5.2355 c=5.3143 alpha=90.00 beta=90.00 gamma=90.00
Last column: nearest neighbours and their distance in Å.
Positions (direct):
Y (0.0000, 0.0000, 0.0000)  4 Cl 2.62, 2 S 2.66
S (0.0000, 0.0000, 0.5000)  2 Y 2.66
Tc (0.5000, 0.5000, 0.5000)  4 S 3.70, 8 Cl 3.73
Cl (0.0000, 0.5000, 0.0000)  2 Y 2.62
Cl (0.5000, 0.0000, 0.0000)  2 Y 2.62

Output
- Distance to the lowest polymorph of the same formula: 0.0200 eV per atom
- Energy: -5.30 eV/atom
- Space group: No. 123

***

Record 3
The following is a DFT calculation (GGA-PBE) of a relaxed structure of CsCu2AgBr6.

Unit cell a=7.3110 b=7.3110 c=9.1476 alpha=66.45 beta=66.45 gamma=60.00
Last column: nearest neighbours and their distance in Å.
Positions (direct):
Cs (0.0000, 0.0000, 0.0000)  6 Br 3.70
Cu (0.7718, 0.7718, 0.6845)  3 Br 2.32
Cu (0.2282, 0.2282, 0.3155)  3 Br 2.32
Ag (0.5000, 0.5000, 0.5000)  6 Br 2.78
Br (0.1060, 0.4809, 0.7070)  1 Cu 2.32
Br (0.7061, 0.1060, 0.7070)  1 Cu 2.32
Br (0.5191, 0.2939, 0.2930)  1 Cu 2.32
Br (0.8940, 0.5191, 0.2930)  1 Cu 2.32
Br (0.2939, 0.8940, 0.2930)  1 Cu 2.32
Br (0.4809, 0.7061, 0.7070)  1 Cu 2.32

Output
- Energy: -2.75 eV/atom
- Space group: No. 148

***

Record 4
The following is a DFT calculation (GGA-PBE) of a relaxed structure of LaMnCd.

Unit cell a=6.5577 b=6.5577 c=3.4595 alpha=74.70 beta=74.70 gamma=30.59
Last column: nearest neighbours and their distance in Å.
Positions (direct):
Cd (0.0286, 0.0285, 0.9714)  4 Mn 2.86
La (0.3213, 0.3213, 0.6787)  4 Mn 3.21, 4 La 3.46, 5 Cd 3.51-3.56
Mn (0.6502, 0.6502, 0.3498)  4 Cd 2.86

Output
- Energy: -4.90 eV/atom
- Space group: No. 107

***

Record 5
The following is a DFT calculation (GGA-PBE) of a relaxed structure of LaPrAsN.

Unit cell a=4.6468 b=4.6468 c=9.1174 alpha=90.00 beta=90.00 gamma=90.00
Last column: nearest neighbours and their distance in Å.
Positions (direct):
La (0.0000, 0.0000, 0.5000)  4 N 2.48
La (0.5000, 0.5000, 0.5000)  4 N 2.48
Pr (0.5000, 0.0000, 0.8452)  1 N 2.29
Pr (0.0000, 0.5000, 0.1548)  1 N 2.29
As (0.0000, 0.5000, 0.8068)  5 Pr 3.17-3.30
As (0.5000, 0.0000, 0.1932)  5 Pr 3.17-3.30
N (0.0000, 0.5000, 0.4064)  1 Pr 2.29, 4 La 2.48
N (0.5000, 0.0000, 0.5936)  1 Pr 2.29, 4 La 2.48

Output
- Energy: -6.97 eV/atom
- Space group: No. 129

***

Record 6
The following is a DFT calculation (GGA-PBE) of a relaxed structure of PaBiRh.

Unit cell a=3.5499 b=7.5318 c=12.6197 alpha=151.29 beta=90.00 gamma=103.63
Last column: nearest neighbours and their distance in Å.
Positions (direct):
Rh (0.9879, 0.9758, 0.8763)  4 Pa 2.75-2.99, 1 Rh 2.81, 3 Bi 2.96-3.07
Rh (0.0121, 0.0242, 0.1237)  4 Pa 2.75-2.99, 1 Rh 2.81, 3 Bi 2.96-3.07
Bi (0.5190, 0.0381, 0.3188)  3 Rh 2.96-3.07
Bi (0.4810, 0.9619, 0.6812)  3 Rh 2.96-3.07
Pa (0.7767, 0.5535, 0.2627)  4 Rh 2.75-2.99, 1 Pa 2.82
Pa (0.2233, 0.4465, 0.7373)  4 Rh 2.75-2.99, 1 Pa 2.82

Output
- Energy: -7.32 eV/atom
- Space group: No. 12

***

Record 7
The following is a DFT calculation (GGA-PBE) of a relaxed structure of HgS2NCl.

Unit cell a=4.9342 b=4.9342 c=3.8507 alpha=90.00 beta=90.00 gamma=90.00
Last column: nearest neighbours and their distance in Å.
Positions (direct):
S (0.0000, 0.5000, 0.0000)  2 Cl 2.47
S (0.5000, 0.0000, 0.0000)  2 Cl 2.47
N (0.0000, 0.0000, 0.5000)  2 Cl 1.93
Hg (0.5000, 0.5000, 0.5000)  8 S 3.13, 4 N 3.49
Cl (0.0000, 0.0000, 0.0000)  2 N 1.93

Output
- Distance to the lowest polymorph of the same formula: 0.4770 eV per atom
- Energy: -2.17 eV/atom
- Space group: No. 123

***

Record 8
The following is a DFT calculation (GGA-PBE) of a relaxed structure of NdPaTl2.

Unit cell a=3.3456 b=3.3456 c=12.3426 alpha=82.21 beta=82.21 gamma=60.00
Last column: nearest neighbours and their distance in Å.
Positions (direct):
Tl (0.0884, 0.0884, 0.7349)  1 Nd 3.23, 6 Tl 3.35, 3 Pa 3.45
Tl (0.9116, 0.9116, 0.2651)  1 Nd 3.23, 6 Tl 3.35, 3 Pa 3.45
Pa (0.5000, 0.5000, 0.5000)  6 Pa 3.35, 6 Tl 3.45
Nd (0.0000, 0.0000, 0.0000)  2 Tl 3.23, 6 Nd 3.35

Output
- Distance to the lowest polymorph of the same formula: 0.2579 eV per atom
- Energy: -4.54 eV/atom
- Space group: No. 166

***

Record 9
The following is a DFT calculation (GGA-PBE) of a relaxed structure of LaSm6Tm2Mg.

Unit cell a=9.5420 b=8.5568 c=8.5568 alpha=106.96 beta=96.89 gamma=96.89
Last column: nearest neighbours and their distance in Å.
Positions (direct):
La (0.2500, 0.9353, 0.0647)  2 Sm 3.25, 2 Tm 3.37
La (0.7500, 0.0647, 0.9353)  2 Sm 3.25, 2 Tm 3.37
Sm (0.0732, 0.0787, 0.7354)  5 Sm 3.38-3.77, 1 Tm 3.43, 1 Mg 3.62, 2 La 3.70-3.71
Sm (0.4268, 0.2646, 0.9213)  5 Sm 3.38-3.77, 1 Tm 3.43, 1 Mg 3.62, 2 La 3.70-3.71
Sm (0.9268, 0.9213, 0.2646)  5 Sm 3.38-3.77, 1 Tm 3.43, 1 Mg 3.62, 2 La 3.70-3.71
Sm (0.5732, 0.7354, 0.0787)  5 Sm 3.38-3.77, 1 Tm 3.43, 1 Mg 3.62, 2 La 3.70-3.71
Sm (0.3306, 0.0317, 0.4652)  1 La 3.25, 1 Mg 3.25, 3 Sm 3.35-3.55, 2 Tm 3.49-3.56
Sm (0.1694, 0.5348, 0.9683)  1 La 3.25, 1 Mg 3.25, 3 Sm 3.35-3.55, 2 Tm 3.49-3.56
Sm (0.6694, 0.9683, 0.5348)  1 La 3.25, 1 Mg 3.25, 3 Sm 3.35-3.55, 2 Tm 3.49-3.56
Sm (0.8306, 0.4652, 0.0317)  1 La 3.25, 1 Mg 3.25, 3 Sm 3.35-3.55, 2 Tm 3.49-3.56
Sm (0.0959, 0.6722, 0.4366)  2 Mg 3.25-3.42, 3 Sm 3.35-3.51, 2 Tm 3.43-3.48
Sm (0.4041, 0.5634, 0.3278)  2 Mg 3.25-3.42, 3 Sm 3.35-3.51, 2 Tm 3.43-3.48
Sm (0.9041, 0.3278, 0.5634)  2 Mg 3.25-3.42, 3 Sm 3.35-3.51, 2 Tm 3.43-3.48
Sm (0.5959, 0.4366, 0.6722)  2 Mg 3.25-3.42, 3 Sm 3.35-3.51, 2 Tm 3.43-3.48
Tm (0.4070, 0.7981, 0.7288)  1 Mg 3.34, 2 La 3.37-3.68, 6 Sm 3.43-3.70
Tm (0.0930, 0.2712, 0.2019)  1 Mg 3.34, 2 La 3.37-3.68, 6 Sm 3.43-3.70
Tm (0.5930, 0.2019, 0.2712)  1 Mg 3.34, 2 La 3.37-3.68, 6 Sm 3.43-3.70
Tm (0.9070, 0.7288, 0.7981)  1 Mg 3.34, 2 La 3.37-3.68, 6 Sm 3.43-3.70
Mg (0.2500, 0.4013, 0.5987)  8 Sm 3.25-3.62, 2 Tm 3.34
Mg (0.7500, 0.5987, 0.4013)  8 Sm 3.25-3.62, 2 Tm 3.34

Output
- Energy: -4.27 eV/atom
- Space group: No. 15

***

Record 10
The following is a DFT calculation (GGA-PBE) of a relaxed structure of Tl2Hg2Ge.

Unit cell a=7.9260 b=7.9260 c=4.5696 alpha=90.00 beta=90.00 gamma=90.00
Last column: nearest neighbours and their distance in Å.
Positions (direct):
Tl (0.3431, 0.8431, 0.0000)  2 Ge 2.99, 6 Hg 3.15-3.33
Tl (0.8431, 0.6569, 0.0000)  2 Ge 2.99, 6 Hg 3.15-3.33
Tl (0.6569, 0.1569, 0.0000)  2 Ge 2.99, 6 Hg 3.15-3.33
Tl (0.1569, 0.3431, 0.0000)  2 Ge 2.99, 6 Hg 3.15-3.33
Ge (0.0000, 0.0000, 0.0000)  4 Tl 2.99
Ge (0.5000, 0.5000, 0.0000)  4 Tl 2.99
Hg (0.1494, 0.6494, 0.5000)  6 Tl 3.15-3.33, 1 Hg 3.35
Hg (0.6494, 0.8506, 0.5000)  6 Tl 3.15-3.33, 1 Hg 3.35
Hg (0.8506, 0.3506, 0.5000)  6 Tl 3.15-3.33, 1 Hg 3.35
Hg (0.3506, 0.1494, 0.5000)  6 Tl 3.15-3.33, 1 Hg 3.35

Output
- Distance to the lowest polymorph of the same formula: 0.0842 eV per atom
- Energy: -1.76 eV/atom
- Space group: No. 127